# 1
# TiCuTe2

Crystalline TiCuTe2 at its relaxed geometry (PBE-GGA, the Alexandria database).

Unit cell a=6.1749 b=6.1749 c=12.1118 alpha=90.00 beta=90.00 gamma=90.00
Closest atoms and distances in Å follow each position.
Space group I-42d (No. 122)
One atom of each set of equivalent atoms:
1 Ti 0.0000 0.0000 0.0000 [4 per cell]  4 Te 2.71
2 Cu 0.0000 0.0000 0.5000 [4 per cell]  4 Te 2.61
3 Te 0.2366 0.2500 0.6250 [8 per cell]  2 Cu 2.61, 2 Ti 2.71

- ΔE_f (raw) (kJ per mole of atoms) = -23.3
- theoretical density (g cm⁻³) = 5.273
- M_tot (μB/atom) = 0.250

***

# 2
# Ti3CuTe6

Crystalline Ti3CuTe6 at its relaxed geometry (PBE-GGA, the Alexandria database).

Unit cell a=11.5332 b=11.5332 c=14.1447 alpha=90.00 beta=90.00 gamma=120.00
Closest atoms and distances in Å follow each position.
Space group R-3 (No. 148, hexagonal axes)
One atom of each set of equivalent atoms:
1 Ti 0.0534 0.6061 0.3738 [18 per cell]  6 Te 2.75-2.93
2 Cu 0.0000 0.0000 0.0000 [3 per cell]  6 Te 2.76
3 Cu 0.0000 0.0000 0.5000 [3 per cell]  6 Te 2.73
4 Te 0.0083 0.8038 0.8934 [18 per cell]  3 Ti 2.75-2.86, 1 Cu 2.76
5 Te 0.0338 0.8404 0.3732 [18 per cell]  1 Cu 2.73, 3 Ti 2.77-2.93

- ΔE_f (raw) (kJ per mole of atoms) = -38.0
- theoretical density (g cm⁻³) = 5.948
- M_tot (μB/atom) = 0.097

***

# 3
# Ti2CuTe6

Crystalline Ti2CuTe6 at its relaxed geometry (PBE-GGA, the Alexandria database).

Unit cell a=6.5453 b=6.5453 c=11.7354 alpha=90.00 beta=90.00 gamma=90.00
Closest atoms and distances in Å follow each position.
Space group P4_2/mnm (No. 136)
One atom of each set of equivalent atoms:
1 Ti 0.0000 0.0000 0.1559 [4 per cell]  6 Te 2.68-2.79
2 Cu 0.0000 0.0000 0.5000 [2 per cell]  6 Te 2.67-2.74
3 Te 0.1994 0.1994 0.3271 [8 per cell]  2 Ti 2.73-2.79, 1 Cu 2.74
4 Te 0.2115 0.2115 0.0000 [4 per cell]  1 Cu 2.67, 2 Ti 2.68

- ΔE_f (raw) (kJ per mole of atoms) = -30.2
- theoretical density (g cm⁻³) = 6.109
- M_tot (μB/atom) = 0.000

***

# 4
# TiTl2Cu2Te4

Crystalline TiTl2Cu2Te4 at its relaxed geometry (PBE-GGA, the Alexandria database).

Unit cell a=15.3001 b=4.0518 c=8.4095 alpha=90.00 beta=109.44 gamma=90.00
Closest atoms and distances in Å follow each position.
Space group C2/m (No. 12)
One atom of each set of equivalent atoms:
1 Ti 0.0000 0.0000 0.0000 [2 per cell]  6 Te 2.83-2.85
2 Tl 0.1334 0.0000 0.5727 [4 per cell]  7 Te 3.41-3.69, 1 Cu 3.79
3 Cu 0.1900 0.5000 0.9871 [4 per cell]  4 Te 2.64-2.68, 2 Cu 2.69
4 Te 0.0179 0.5000 0.7778 [4 per cell]  1 Cu 2.64, 2 Ti 2.83
5 Te 0.1931 0.0000 0.1894 [4 per cell]  3 Cu 2.64-2.68, 1 Ti 2.85

- ΔE_f (raw) (kJ per mole of atoms) = -33.6
- theoretical density (g cm⁻³) = 7.391
- M_tot (μB/atom) = 0.024

***

# 5
# TlCu2Te

Crystalline TlCu2Te at its relaxed geometry (PBE-GGA, the Alexandria database).

Unit cell a=4.9680 b=5.1781 c=6.7018 alpha=90.00 beta=90.00 gamma=90.00
Closest atoms and distances in Å follow each position.
Space group Cmmm (No. 65)
One atom of each set of equivalent atoms:
1 Tl 0.0000 0.0000 0.0000 [2 per cell]  8 Cu 3.24-3.32, 2 Te 3.35, 4 Tl 3.59
2 Cu 0.0000 0.5000 0.3103 [4 per cell]  1 Cu 2.54, 2 Te 2.79
3 Te 0.0000 0.0000 0.5000 [2 per cell]  8 Cu 2.79-2.88

- ΔE_f (raw) (kJ per mole of atoms) = 30.2
- distance to the lowest polymorph of the same formula (eV/f.u.) = 1.00
- theoretical density (g cm⁻³) = 8.843
- M_tot (μB/atom) = 0.000

***

# 6
# TlCu5Te4

Crystalline TlCu5Te4 at its relaxed geometry (PBE-GGA, the Alexandria database).

Unit cell a=11.5647 b=11.5647 c=3.7512 alpha=90.00 beta=90.00 gamma=90.00
Closest atoms and distances in Å follow each position.
Space group P4/nmm (No. 129, origin choice 2)
One atom of each set of equivalent atoms:
1 Tl 0.2500 0.7500 0.0000 [2 per cell]  8 Te 3.51-3.54, 2 Tl 3.75
2 Cu 0.1376 0.1376 0.0086 [8 per cell]  4 Cu 2.60-2.63, 4 Te 2.73
3 Cu 0.2500 0.2500 0.5088 [2 per cell]  8 Cu 2.63, 4 Te 2.80
4 Te 0.0082 0.2500 0.5083 [8 per cell]  5 Cu 2.73-2.80

- ΔE_f (raw) (kJ per mole of atoms) = 5.6
- theoretical density (g cm⁻³) = 6.835
- M_tot (μB/atom) = 0.000

***

# 7
# TlCu2Te2

Crystalline TlCu2Te2 at its relaxed geometry (PBE-GGA, the Alexandria database).

Unit cell a=8.1221 b=8.1221 c=3.4516 alpha=90.00 beta=90.00 gamma=90.00
Closest atoms and distances in Å follow each position.
Space group P4/mbm (No. 127)
One atom of each set of equivalent atoms:
1 Tl 0.0000 0.0000 0.0000 [2 per cell]  4 Cu 3.28, 2 Tl 3.45, 8 Te 3.49
2 Cu 0.1120 0.3880 0.0000 [4 per cell]  1 Cu 2.57, 4 Te 2.88
3 Te 0.1664 0.6664 0.5000 [4 per cell]  6 Cu 2.88-3.08

- ΔE_f (raw) (kJ per mole of atoms) = 12.3
- distance to the lowest polymorph of the same formula (eV/f.u.) = 1.42
- theoretical density (g cm⁻³) = 8.557
- M_tot (μB/atom) = 0.000

***

# 8
# Tl2CuTe

Crystalline Tl2CuTe at its relaxed geometry (PBE-GGA, the Alexandria database).

Unit cell a=4.3635 b=4.3635 c=11.2422 alpha=90.00 beta=90.00 gamma=90.00
Closest atoms and distances in Å follow each position.
Space group I4/mmm (No. 139)
One atom of each set of equivalent atoms:
1 Tl 0.0000 0.5000 0.2500 [4 per cell]  4 Tl 3.09
2 Cu 0.0000 0.0000 0.0000 [2 per cell]  4 Te 3.09
3 Te 0.0000 0.0000 0.5000 [2 per cell]  4 Cu 3.09

- ΔE_f (raw) (kJ per mole of atoms) = 17.2
- distance to the lowest polymorph of the same formula (eV/f.u.) = 0.89
- theoretical density (g cm⁻³) = 9.308
- M_tot (μB/atom) = 0.000